1.
DFT (GGA-PBEsol) results for crystalline MoPtAu2 at its relaxed geometry.

Summary:
Crystal system: cubic
Energy of formation from the pure elements, eV per atom: 0.2232
E, eV/atom: -6.4217
Offset from the most stable computed form, meV/atom: 0.0

```
data_MoPtAu2
_symmetry_space_group_name_H-M 'F m -3 m'
_symmetry_Int_Tables_number 225
_symmetry_space_group_name_Hall '-F 4 2 3'
_cell_length_a 6.339
_cell_length_b 6.339
_cell_length_c 6.339
_cell_angle_alpha 90.00
_cell_angle_beta 90.00
_cell_angle_gamma 90.00
loop_
_atom_site_label
_atom_site_fract_x
_atom_site_fract_y
_atom_site_fract_z
Mo1 0.000 0.000 0.000
Pt1 0.000 0.000 0.500
Au1 0.250 0.250 0.250
```


2.
DFT (GGA-PBEsol) results for crystalline ReMoAu4 at its relaxed geometry.

Summary:
Crystal system: cubic
Energy of formation from the pure elements, eV per atom: 0.8494
E, eV/atom: -5.9500

```
data_ReMoAu4
_symmetry_space_group_name_H-M 'F -4 3 m'
_symmetry_Int_Tables_number 216
_symmetry_space_group_name_Hall 'F -4 2 3'
_cell_length_a 7.394
_cell_length_b 7.394
_cell_length_c 7.394
_cell_angle_alpha 90.00
_cell_angle_beta 90.00
_cell_angle_gamma 90.00
loop_
_atom_site_label
_atom_site_fract_x
_atom_site_fract_y
_atom_site_fract_z
Re1 0.000 0.000 0.000
Mo1 0.250 0.250 0.750
Au1 0.125 0.125 0.375
```


3.
DFT (GGA-PBEsol) results for crystalline ReMoAu at its relaxed geometry.

Summary:
Crystal system: orthorhombic
Energy of formation from the pure elements, eV per atom: 0.3152
E, eV/atom: -9.3594
Offset from the most stable computed form, meV/atom: 0.0

```
data_ReMoAu
_symmetry_space_group_name_H-M 'F m m 2'
_symmetry_Int_Tables_number 42
_symmetry_space_group_name_Hall 'F 2 -2'
_cell_length_a 3.137
_cell_length_b 4.364
_cell_length_c 13.759
_cell_angle_alpha 90.00
_cell_angle_beta 90.00
_cell_angle_gamma 90.00
loop_
_atom_site_label
_atom_site_fract_x
_atom_site_fract_y
_atom_site_fract_z
Re1 0.000 0.000 0.000
Mo1 0.000 0.000 0.348
Au1 0.000 0.000 0.675
```


4.
DFT (GGA-PBEsol) results for crystalline ReMo2Au at its relaxed geometry.

Summary:
Crystal system: tetragonal
Energy of formation from the pure elements, eV per atom: 0.1693
E, eV/atom: -10.0287
Offset from the most stable computed form, meV/atom: 0.0

```
data_ReMo2Au
_symmetry_space_group_name_H-M 'I 4/m m m'
_symmetry_Int_Tables_number 139
_symmetry_space_group_name_Hall '-I 4 2'
_cell_length_a 3.952
_cell_length_b 3.952
_cell_length_c 7.796
_cell_angle_alpha 90.00
_cell_angle_beta 90.00
_cell_angle_gamma 90.00
loop_
_atom_site_label
_atom_site_fract_x
_atom_site_fract_y
_atom_site_fract_z
Re1 0.000 0.000 0.000
Mo1 0.000 0.500 0.250
Au1 0.000 0.000 0.500
```